{"formula": "InCoSe2F", "functional": "GGA+U", "state": "optimized geometry", "lattice_angstrom": [[5.270, 0.000, 0.000], [0.000, 5.270, 0.000], [0.000, 0.000, 4.145]], "species": ["In", "Co", "Se", "Se", "F"], "frac_coords": [[0.000, 0.000, 0.000], [0.500, 0.500, 0.500], [0.000, 0.500, 0.000], [0.500, 0.000, 0.000], [0.000, 0.000, 0.500]], "n_ef_per_ev_fu": 0.835, "total_energy_ev_per_atom": -3.573, "spacegroup": "P4/mmm (123)"}